(1)
This record from Alexandria via LeMat-Bulk describes a crystal of BeC relaxed with PBEsol. The functional is meta-GGA SCAN.

Summary:
Uncorrected energy (eV per atom): -6.537
Total magnetic moment (Bohr magnetons per cell): 0.00
ΔE to the lowest computed polymorph (eV per atom): 0.0000
Space group: Cm, No. 8
Energy relative to the elements (kJ/mol of formula units): 133.1

abc: 2.6226 4.4475 5.1009
angles: 111.79 90.00 107.15
With the nearest neighbours (Å) after each atom.
Positions (direct):
Be (0.6495, 0.2991, 0.8849)  3 C 1.70-1.79
Be (0.4026, 0.8051, 0.2734)  4 C 1.82-1.99
Be (0.3253, 0.6505, 0.6639)  6 C 1.84-1.93
C (0.9989, 0.9978, 0.8512)  2 C 1.47-1.50
C (0.9275, 0.8551, 0.5327)  1 C 1.50
C (0.8629, 0.7258, 0.9606)  1 C 1.47

---

(2)
This record from Alexandria via LeMat-Bulk describes a crystal of BaY2Cu relaxed with PBEsol. The functional is meta-GGA SCAN.

Summary:
Uncorrected energy (eV per atom): -27.147
Total magnetic moment (Bohr magnetons per cell): 0.00
ΔE to the lowest computed polymorph (eV per atom): 0.2826
Space group: Cmmm, No. 65
Energy relative to the elements (kJ/mol of formula units): 178.2

abc: 3.8169 5.3892 5.3892
angles: 99.02 90.00 90.00
With the nearest neighbours (Å) after each atom.
Positions (direct):
Ba (0.5000, 0.0000, 0.0000)  8 Y 3.30, 2 Cu 3.50
Cu (0.5000, 0.5000, 0.5000)  8 Y 3.30, 2 Ba 3.50
Y (0.0000, 0.5000, 0.0000)  4 Ba 3.30, 4 Cu 3.30, 2 Y 3.50
Y (0.0000, 0.0000, 0.5000)  4 Cu 3.30, 4 Ba 3.30, 2 Y 3.50

---

(3)
This record from Alexandria via LeMat-Bulk describes a crystal of YZn2Os relaxed with PBEsol. The functional is meta-GGA SCAN.

Summary:
Uncorrected energy (eV per atom): -31.799
Total magnetic moment (Bohr magnetons per cell): 0.00
ΔE to the lowest computed polymorph (eV per atom): 0.0000
Space group: Fm-3m, No. 225
Energy relative to the elements (kJ/mol of formula units): -42.7

abc: 4.5222 4.5222 4.5222
angles: 60.00 60.00 60.00
With the nearest neighbours (Å) after each atom.
Positions (direct):
Os (0.0000, 0.0000, 0.0000)  8 Zn 2.77
Y (0.5000, 0.5000, 0.5000)  8 Zn 2.77
Zn (0.7500, 0.7500, 0.7500)  4 Os 2.77, 4 Y 2.77
Zn (0.2500, 0.2500, 0.2500)  4 Os 2.77, 4 Y 2.77

---

(4)
This record from Alexandria via LeMat-Bulk describes a crystal of ScW2Se relaxed with PBEsol. The functional is meta-GGA SCAN.

Summary:
Uncorrected energy (eV per atom): -42.920
Total magnetic moment (Bohr magnetons per cell): 0.00
ΔE_f (raw) (eV per atom): 0.503
Space group: Cmmm, No. 65

abc: 2.9295 5.1556 5.1556
angles: 119.68 90.00 90.00
With the nearest neighbours (Å) after each atom.
Positions (direct):
Sc (0.5000, 0.0000, 0.0000)  2 Se 2.59
Se (0.5000, 0.5000, 0.5000)  2 Sc 2.59
W (0.0000, 0.5000, 0.0000)  2 W 2.59
W (0.0000, 0.0000, 0.5000)  2 W 2.59

---

(5)
This record from Alexandria via LeMat-Bulk describes a crystal of SiPPb2 relaxed with PBEsol. The functional is meta-GGA SCAN.

Summary:
Uncorrected energy (eV per atom): -42.347
Total magnetic moment (Bohr magnetons per cell): 0.00
ΔE_f (raw) (eV per atom): 0.647
ΔE to the lowest computed polymorph (eV per atom): 0.3852
Space group: I4/mmm, No. 139

abc: 4.9999 4.9972 5.0306
angles: 119.78 119.80 90.00
With the nearest neighbours (Å) after each atom.
Positions (direct):
P (0.0000, 0.5000, 0.0000)  8 Pb 3.07
Pb (0.7500, 0.7500, 0.5001)  4 P 3.07, 4 Si 3.07
Pb (0.2500, 0.2500, 0.4999)  4 P 3.07, 4 Si 3.07
Si (0.5000, 0.0000, 0.0000)  8 Pb 3.07

---

(6)
This record from Alexandria via LeMat-Bulk describes a crystal of Hg2Se relaxed with PBEsol. The functional is meta-GGA SCAN.

Summary:
Uncorrected energy (eV per atom): -52.164
Total magnetic moment (Bohr magnetons per cell): 0.00
ΔE_f (raw) (eV per atom): -0.027
ΔE to the lowest computed polymorph (eV per atom): 0.0296
Space group: P-3m1, No. 164

abc: 4.9972 4.0447 4.0483
angles: 119.97 90.01 90.00
With the nearest neighbours (Å) after each atom.
Positions (direct):
Hg (0.1781, 0.6667, 0.3335)  3 Se 2.84, 3 Hg 2.94
Hg (0.8219, 0.3333, 0.6665)  3 Se 2.84, 3 Hg 2.94
Se (0.5000, 0.0000, 0.0000)  6 Hg 2.84

---

(7)
This record from Alexandria via LeMat-Bulk describes a crystal of ScAlF3 relaxed with PBEsol. The functional is meta-GGA SCAN.

Summary:
Uncorrected energy (eV per atom): -8.494
Total magnetic moment (Bohr magnetons per cell): 1.81
ΔE_f (raw) (eV per atom): -1.972
Space group: Pm-3m, No. 221

abc: 4.0788 4.0788 4.0788
angles: 90.00 90.00 90.00
With the nearest neighbours (Å) after each atom.
Positions (direct):
Sc (0.5000, 0.5000, 0.5000)  12 F 2.88
Al (0.0000, 0.0000, 0.0000)  6 F 2.04
F (0.0000, 0.5000, 0.0000)  2 Al 2.04
F (0.0000, 0.0000, 0.5000)  2 Al 2.04
F (0.5000, 0.0000, 0.0000)  2 Al 2.04

---

(8)
This record from Alexandria via LeMat-Bulk describes a crystal of HfMgTe2I relaxed with PBEsol. The functional is meta-GGA SCAN.

Summary:
Uncorrected energy (eV per atom): -35.383
Total magnetic moment (Bohr magnetons per cell): 0.92
ΔE_f (raw) (eV per atom): 0.395
Space group: P4/mmm, No. 123

abc: 5.1942 5.3537 5.3537
angles: 90.00 90.00 90.00
With the nearest neighbours (Å) after each atom.
Positions (direct):
I (0.5000, 0.0000, 0.0000)  2 Mg 2.60
Mg (0.0000, 0.0000, 0.0000)  2 I 2.60, 4 Te 2.68
Te (0.0000, 0.0000, 0.5000)  2 Mg 2.68
Te (0.0000, 0.5000, 0.0000)  2 Mg 2.68
Hf (0.5000, 0.5000, 0.5000)  8 Te 3.73, 4 I 3.79

---

(9)
This record from Alexandria via LeMat-Bulk describes a crystal of BaBe2Cu relaxed with PBEsol. The functional is meta-GGA SCAN.

Summary:
Uncorrected energy (eV per atom): -14.946
Total magnetic moment (Bohr magnetons per cell): 0.00
ΔE to the lowest computed polymorph (eV per atom): 0.8337
Space group: I4/mmm, No. 139
Energy relative to the elements (kJ/mol of formula units): 354.4

abc: 4.7544 4.7089 4.7544
angles: 120.32 90.00 120.32
With the nearest neighbours (Å) after each atom.
Positions (direct):
Be (0.7500, 0.5000, 0.2500)  4 Ba 2.89, 4 Cu 2.89
Be (0.2500, 0.5000, 0.7500)  4 Cu 2.89, 4 Ba 2.89
Ba (0.0000, 0.0000, 0.0000)  8 Be 2.89
Cu (0.5000, 0.0000, 0.5000)  8 Be 2.89

---

(10)
This record from Alexandria via LeMat-Bulk describes a crystal of Mo2PbBr relaxed with PBEsol. The functional is meta-GGA SCAN.

Summary:
Uncorrected energy (eV per atom): -41.058
Total magnetic moment (Bohr magnetons per cell): 0.00
ΔE_f (raw) (eV per atom): 0.195
ΔE to the lowest computed polymorph (eV per atom): 0.0000
Space group: Amm2, No. 38

abc: 3.1627 3.2953 8.3577
angles: 101.37 90.00 90.00
With the nearest neighbours (Å) after each atom.
Positions (direct):
Pb (0.0000, 0.4120, 0.4493)  5 Mo 3.04-3.29, 4 Pb 3.16-3.30
Mo (0.0000, 0.2111, 0.0474)  2 Br 2.58, 4 Mo 2.62
Mo (0.5000, 0.7895, 0.2041)  4 Mo 2.62
Br (0.5000, 0.0874, 0.7991)  2 Mo 2.58

---

(11)
This record from Alexandria via LeMat-Bulk describes a crystal of P2IrAu relaxed with PBEsol. The functional is meta-GGA SCAN.

Summary:
Uncorrected energy (eV per atom): -40.198
Total magnetic moment (Bohr magnetons per cell): 0.00
ΔE to the lowest computed polymorph (eV per atom): 0.0000
Space group: Pm, No. 6
Energy relative to the elements (kJ/mol of formula units): 25.3

abc: 3.1785 4.2392 4.8721
angles: 114.82 90.00 90.00
With the nearest neighbours (Å) after each atom.
Positions (direct):
Au (0.0000, 0.9747, 0.5181)  2 P 2.37-2.51
Ir (0.5000, 0.5750, 0.7516)  4 P 2.41-2.58
P (0.0000, 0.0135, 0.0470)  2 P 2.28, 2 Au 2.37-2.51, 2 Ir 2.41
P (0.5000, 0.4369, 0.1833)  2 P 2.28, 1 Ir 2.41

---

(12)
This record from Alexandria via LeMat-Bulk describes a crystal of MoSe relaxed with PBEsol. The functional is meta-GGA SCAN.

Summary:
Uncorrected energy (eV per atom): -26.979
Total magnetic moment (Bohr magnetons per cell): 0.00
ΔE_f (raw) (eV per atom): 0.503
ΔE to the lowest computed polymorph (eV per atom): 0.2872
Space group: I4_1/amd, No. 141

abc: 4.0267 4.0267 4.8289
angles: 114.64 114.64 90.00
With the nearest neighbours (Å) after each atom.
Positions (direct):
Mo (0.2500, 0.7500, 0.5000)  8 Se 2.80-2.85, 4 Mo 2.80
Mo (0.0000, 0.0000, 0.0000)  8 Se 2.80-2.85, 4 Mo 2.80
Se (0.7500, 0.2500, 0.5000)  4 Se 2.80, 8 Mo 2.80-2.85
Se (0.5000, 0.5000, 0.0000)  4 Se 2.80, 8 Mo 2.80-2.85